Version i
A plane-wave DFT calculation with PBE-GGA was carried out for a relaxed structure of Ce2Tl2Sn.

Lattice parameters (Å, degrees): 4.0871 4.5486 8.0156 73.51 94.30 90.00
Site moments in Bohr magnetons follow the coordinates.
Fractional coordinates of all 5 atoms:
Sn1 0.0000 0.5000 0.0000  -0.03
Tl1 0.8375 0.7041 0.5918  0.00
Tl2 0.1625 0.2959 0.4082  0.00
Ce1 0.4776 0.0898 0.8207  0.85
Ce2 0.5224 0.9102 0.1793  0.85

## Properties
The space-group type is C2/m. Its magnetization is 1.931 μB per formula unit.

***

Version ii
A plane-wave DFT calculation with PBE-GGA was carried out for a relaxed structure of Ce2Tl2Sn.

Lattice parameters (Å, degrees): 5.2691 5.2691 12.4854 90.00 90.00 120.00
Site moments in Bohr magnetons follow the coordinates.
Fractional coordinates of all 10 atoms:
Sn1 0.0000 0.0000 0.7500  0.00
Sn2 0.0000 0.0000 0.2500  0.00
Tl1 0.3333 0.6667 0.2500  0.01
Tl2 0.6667 0.3333 0.7500  0.01
Tl3 0.0000 0.0000 0.5000  0.01
Tl4 0.0000 0.0000 0.0000  0.01
Ce1 0.3333 0.6667 0.6083  0.93
Ce2 0.6667 0.3333 0.3917  0.93
Ce3 0.6667 0.3333 0.1083  0.93
Ce4 0.3333 0.6667 0.8917  0.93

## Properties
The space-group type is P6_3/mmc. Its magnetization is 2.293 μB per formula unit.

***

Which is most stable? The ranking, best first, is version i, version ii.

***

Version i
A plane-wave DFT calculation with PBE-GGA was carried out for a relaxed structure of CeTl2Sn.

Lattice parameters (Å, degrees): 5.4775 5.4775 5.4742 59.98 59.98 60.00
Site moments in Bohr magnetons follow the coordinates.
Fractional coordinates of all 4 atoms:
Tl1 0.2499 0.2499 0.2502  0.02
Tl2 0.7501 0.7501 0.7498  0.02
Ce1 0.5000 0.5000 0.5000  1.07
Sn1 0.0000 0.0000 0.0000  0.00

## Properties
The space-group type is Fm-3m. Its magnetization is 1.330 μB per formula unit.

***

Version ii
A plane-wave DFT calculation with PBE-GGA was carried out for a relaxed structure of CeTl2Sn.

Lattice parameters (Å, degrees): 4.9793 4.7053 4.7053 90.00 90.00 90.00
Site moments in Bohr magnetons follow the coordinates.
Fractional coordinates of all 4 atoms:
Tl1 0.0000 0.5000 0.0000  0.01
Tl2 0.0000 0.0000 0.5000  0.01
Sn1 0.5000 0.5000 0.5000  0.00
Ce1 0.5000 0.0000 0.0000  0.78

## Properties
The space-group type is P4/mmm. Its magnetization is 0.922 μB per formula unit.

***

Which is most stable? The ranking, best first, is version ii, version i.

***

Version i
A plane-wave DFT calculation with PBE-GGA was carried out for a relaxed structure of Ce4Tl3Sn.

Lattice parameters (Å, degrees): 4.9554 4.9554 9.8690 104.54 104.54 90.00
Site moments in Bohr magnetons follow the coordinates.
Fractional coordinates of all 8 atoms:
Ce1 0.3762 0.3762 0.7524  0.94
Ce2 0.1238 0.1239 0.2476  0.94
Ce3 0.8762 0.8761 0.7524  0.94
Ce4 0.6238 0.6238 0.2476  0.94
Tl1 0.2500 0.7501 0.5001  -0.01
Tl2 0.7500 0.2499 0.4999  -0.01
Tl3 0.0000 0.5000 0.0000  0.00
Sn1 0.5000 0.0000 0.0000  -0.04

## Properties
The space-group type is I4/mmm. Its magnetization is 4.971 μB per formula unit.

***

Version ii
A plane-wave DFT calculation with PBE-GGA was carried out for a relaxed structure of Ce4Tl3Sn.

Lattice parameters (Å, degrees): 4.6455 7.2686 7.9160 110.33 107.06 90.00
Site moments in Bohr magnetons follow the coordinates.
Fractional coordinates of all 8 atoms:
Ce1 0.3640 0.2397 0.7280  0.71
Ce2 0.6862 0.4342 0.3724  0.65
Ce3 0.6360 0.7603 0.2720  0.71
Ce4 0.3138 0.5658 0.6276  0.65
Tl1 0.1429 0.0793 0.2858  0.00
Tl2 0.8571 0.9207 0.7142  0.00
Tl3 0.0000 0.5000 0.0000  0.01
Sn1 0.5000 0.0000 0.0000  0.00

## Properties
The space-group type is C2/m. Its magnetization is 3.098 μB per formula unit.

***

Which is most stable? The ranking, best first, is version i, version ii.